AcAgAsO | the Open Quantum Materials Database | PBE-GGA | optimized geometry; energy relative to the lowest polymorph listed for this composition = 0.000 eV per atom
1.0
4.284 0.000 0.000
0.000 4.284 0.000
0.000 0.000 9.184
Ac Ag As O
2 2 2 2
direct
0.250 0.250 0.137
0.750 0.750 0.863
0.250 0.750 0.500
0.750 0.250 0.500
0.250 0.250 0.675
0.750 0.750 0.325
0.250 0.750 0.000
0.750 0.250 0.000